VASP calculation (PBE-GGA) on a relaxed structure of Cs4Hg4Pd.

## Properties
The value obtained for the energy relative to the elements is -218 meV/atom.

Cell and atoms, written as CIF:
```
data_Cs4Hg4Pd
_space_group_name_H-M_alt 'P 42/n m c'
_space_group_IT_number 137
_cell_length_a 10.8580
_cell_length_b 10.8580
_cell_length_c 7.6959
_cell_angle_alpha 90.00
_cell_angle_beta 90.00
_cell_angle_gamma 90.00
loop_
_space_group_symop_operation_xyz
'x,y,z'
'-x,-y,-z'
'-y+1/2,x,z+1/2'
'y+1/2,-x,-z+1/2'
'-x+1/2,-y+1/2,z'
'x+1/2,y+1/2,-z'
'y,-x+1/2,z+1/2'
'-y,x+1/2,-z+1/2'
'x+1/2,-y,-z'
'-x+1/2,y,z'
'-y,-x,-z+1/2'
'y,x,z+1/2'
'-x,y+1/2,-z'
'x,-y+1/2,z'
'y+1/2,x+1/2,-z+1/2'
'-y+1/2,-x+1/2,z+1/2'
loop_
_atom_site_label
_atom_site_type_symbol
_atom_site_fract_x
_atom_site_fract_y
_atom_site_fract_z
Cs1 Cs 0.0225 0.2500 0.0475
Hg1 Hg 0.0362 0.7500 0.4465
Pd1 Pd 0.2500 0.7500 0.2500
```